Model i:
The following is a PBE calculation of a relaxed structure of P2RuPt, from Alexandria.

```
P2RuPt
1.0
-1.4226 2.5177 4.0778
1.4226 -2.5177 4.0778
1.4226 2.5177 -4.0778
P Ru Pt
2 1 1
direct
0.2403 0.2403 0.0000 P
0.7597 0.7597 0.0000 P
0.0000 0.5000 0.5000 Ru
0.5000 0.0000 0.5000 Pt
```

Model ii:
The following is a PBE calculation of a relaxed structure of P2RuPt, from Alexandria.

```
P2RuPt
1.0
1.4800 0.8545 7.4000
-1.4800 0.8545 7.4000
0.0000 -1.7090 7.4000
P Ru Pt
2 1 1
direct
0.2460 0.2460 0.2460 P
0.7540 0.7540 0.7540 P
0.5000 0.5000 0.5000 Ru
0.0000 0.0000 0.0000 Pt
```

Model iii:
The following is a PBE calculation of a relaxed structure of P2RuPt, from Alexandria.

```
P2RuPt
1.0
-2.6503 2.6503 5.2655
2.6503 -2.6503 5.2655
2.6503 2.6503 -5.2655
P Ru Pt
4 2 2
direct
0.1140 0.6250 0.9890 P
0.3750 0.3640 0.4890 P
0.6360 0.1250 0.0110 P
0.8750 0.8860 0.5110 P
0.0000 0.0000 0.0000 Ru
0.7500 0.2500 0.5000 Ru
0.2500 0.7500 0.5000 Pt
0.5000 0.5000 0.0000 Pt
```

Model iv:
The following is a PBE calculation of a relaxed structure of P2RuPt, from Alexandria.

```
P2RuPt
1.0
3.7975 -1.5031 0.0000
3.7975 1.5031 0.0000
-1.0580 0.0000 4.9164
P Ru Pt
2 1 1
direct
0.2409 0.2409 0.2303 P
0.7591 0.7591 0.7697 P
0.5000 0.5000 0.0000 Ru
0.0000 0.0000 0.5000 Pt
```

model iii comes first in stability; the runner-up is 0.166 eV/atom higher.

Model i:
The following is a PBE calculation of a relaxed structure of PRuPt, from Alexandria.

```
PRuPt
1.0
-1.4531 1.4531 4.9991
1.4531 -1.4531 4.9991
1.4531 1.4531 -4.9991
P Ru Pt
1 1 1
direct
0.0000 0.0000 0.0000 P
0.6210 0.6210 0.0000 Ru
0.3342 0.3342 0.0000 Pt
```

Model ii:
The following is a PBE calculation of a relaxed structure of PRuPt, from Alexandria.

```
PRuPt
1.0
0.0000 2.9216 2.9216
2.9216 0.0000 2.9216
2.9216 2.9216 0.0000
P Ru Pt
1 1 1
direct
0.0000 0.0000 0.0000 P
0.7500 0.7500 0.7500 Ru
0.5000 0.5000 0.5000 Pt
```

model i comes first in stability; the runner-up is 0.245 eV/atom higher.

Model i:
The following is a PBE calculation of a relaxed structure of PRuPt, from Alexandria.

```
PRuPt
1.0
0.0000 2.8062 2.8062
2.8062 0.0000 2.8062
2.8062 2.8062 0.0000
P Ru Pt
1 1 1
direct
0.0000 0.0000 0.0000 P
0.2500 0.2500 0.2500 Ru
0.7500 0.7500 0.7500 Pt
```

Model ii:
The following is a PBE calculation of a relaxed structure of PRuPt, from Alexandria.

```
PRuPt
1.0
0.0000 2.4917 6.0235
1.4893 0.0000 6.0235
1.4893 2.4917 0.0000
P Ru Pt
1 1 1
direct
0.0000 0.0000 0.0000 P
0.3609 0.3609 0.6391 Ru
0.6580 0.6580 0.3420 Pt
```

model i comes first in stability; the runner-up is 0.610 eV/atom higher.

Model i:
The following is a PBE calculation of a relaxed structure of PRuPt, from Alexandria.

```
PRuPt
1.0
2.9039 0.0000 0.0000
-1.4519 2.5148 0.0000
0.0000 0.0000 5.8857
P Ru Pt
1 1 1
direct
0.0000 0.0000 0.0000 P
0.3333 0.6667 0.7248 Ru
0.6667 0.3333 0.3254 Pt
```

Model ii:
The following is a PBE calculation of a relaxed structure of PRuPt, from Alexandria.

```
PRuPt
1.0
3.8054 0.0000 0.0000
-1.9027 3.2956 0.0000
0.0000 0.0000 3.5660
P Ru Pt
1 1 1
direct
0.0000 0.0000 0.0000 P
0.3333 0.6667 0.8160 Ru
0.6667 0.3333 0.3150 Pt
```

model ii comes first in stability; the runner-up is 0.105 eV/atom higher.

Model i:
The following is a PBE calculation of a relaxed structure of PRu2Pt2, from Alexandria.

```
PRu2Pt2
1.0
-1.7980 1.7980 6.3939
1.7980 -1.7980 6.3939
1.7980 1.7980 -6.3939
P Ru Pt
1 2 2
direct
0.0000 0.0000 0.0000 P
0.4057 0.4057 0.0000 Ru
0.5943 0.5943 0.0000 Ru
0.2500 0.7500 0.5000 Pt
0.7500 0.2500 0.5000 Pt
```

Model ii:
The following is a PBE calculation of a relaxed structure of PRu2Pt2, from Alexandria.

```
PRu2Pt2
1.0
5.9817 0.0000 0.0000
0.0000 5.9817 0.0000
0.0000 0.0000 4.2633
P Ru Pt
2 4 4
direct
0.0000 0.0000 0.0000 P
0.5000 0.5000 0.0000 P
0.1479 0.3521 0.0000 Ru
0.3521 0.8521 0.0000 Ru
0.6479 0.1479 0.0000 Ru
0.8521 0.6479 0.0000 Ru
0.1614 0.6614 0.5000 Pt
0.3386 0.1614 0.5000 Pt
0.6614 0.8386 0.5000 Pt
0.8386 0.3386 0.5000 Pt
```

model ii comes first in stability; the runner-up is 0.496 eV/atom higher.

Model i:
The following is a PBE calculation of a relaxed structure of P2RuPtS, from Alexandria.

```
P2RuPtS
1.0
4.4089 0.0000 0.0000
0.0000 4.4089 0.0000
0.0000 0.0000 4.8635
P Ru Pt S
2 1 1 1
direct
0.0000 0.5000 0.0000 P
0.5000 0.0000 0.0000 P
0.0000 0.0000 0.0000 Ru
0.5000 0.5000 0.5000 Pt
0.0000 0.0000 0.5000 S
```

Model ii:
The following is a PBE calculation of a relaxed structure of P2RuPtS, from Alexandria.

```
P2RuPtS
1.0
4.5731 0.0000 0.0000
0.0000 4.5731 0.0000
0.0000 0.0000 4.8356
P Ru Pt S
2 1 1 1
direct
0.0000 0.5000 0.0000 P
0.5000 0.0000 0.0000 P
0.0000 0.0000 0.5000 Ru
0.5000 0.5000 0.0000 Pt
0.5000 0.5000 0.5000 S
```

model i comes first in stability; the runner-up is 0.378 eV/atom higher.